Material: ZnCu6Pt8
Method: DFT, PBE
State: optimized geometry

Unit cell a=2.7798 b=9.5787 c=9.5787 alpha=120.00 beta=90.00 gamma=90.00
Sites, in units of the cell vectors:
Cu: 0.2542 0.9090 0.5231
Pt: 0.2418 0.9203 0.2154
Cu: 0.7458 0.3858 0.9090
Cu: 0.2542 0.4769 0.3858
Pt: 0.2418 0.7846 0.7049
Pt: 0.7582 0.2154 0.2951
Pt: 0.7582 0.7049 0.9203
Pt: 0.7582 0.0797 0.7846
Pt: 0.2418 0.2951 0.0797
Cu: 0.7458 0.0910 0.4769
Zn: 0.5000 0.0000 0.0000
Pt: 0.2451 0.3333 0.6667
Pt: 0.7549 0.6667 0.3333
Cu: 0.2542 0.6142 0.0910
Cu: 0.7458 0.5231 0.6142

Results
symmetry	No. 147
VASP energy	-4.9401	eV per atom
energy relative to the elements	5	meV per atom
crystal system	trigonal